A plane-wave DFT calculation with GGA+U was carried out for TlNiF3 after structural relaxation.

## Properties
Space group = No. 15
Volume = 16.64 Å³ per atom
ΔE to the lowest computed polymorph = 16.2 kJ per mole of atoms
Mass density = 6.39 g/cm3
Calculated total energy = -3.96 eV/atom

a b c (Å): 12.267 8.055 8.055
angles (deg): 80.91 126.00 54.00
Atoms (fractional coordinates):
F 0.090 0.630 0.006
F 0.108 0.854 0.271
F 0.392 0.771 0.354
F 0.590 0.494 0.870
F 0.892 0.146 0.729
F 0.410 0.506 0.130
F 0.093 0.355 0.774
F 0.910 0.370 0.994
F 0.593 0.726 0.145
F 0.407 0.274 0.855
F 0.608 0.229 0.646
F 0.907 0.645 0.226
Tl 0.962 0.790 0.463
Tl 0.462 0.037 0.710
Tl 0.038 0.210 0.537
Tl 0.538 0.963 0.290
Ni 0.750 0.063 0.563
Ni 0.250 0.937 0.437
Ni 0.750 0.317 0.817
Ni 0.250 0.683 0.183